1.
Here is Pm4ZnPb3 after structural relaxation from Alexandria via LeMat-Bulk. Energies are from PBE.

Results
The crystal system is orthorhombic.

a b c (Å): 4.4772 4.5790 11.7716
angles (deg): 90.00 90.00 90.00
With the nearest neighbours (Å) after each atom.
Fractional coordinates of all 8 atoms:
Pm1 0.0000 0.0000 0.0000  1 Zn 3.21, 4 Pb 3.25
Pm2 0.0000 0.5000 0.4849  5 Pb 3.21-3.25, 2 Zn 3.39
Pm3 0.5000 0.0000 0.7201  7 Pb 3.23-3.56
Pm4 0.5000 0.5000 0.2221  3 Pb 3.19-3.41, 4 Zn 3.26
Zn1 0.0000 0.0000 0.2724  2 Pb 2.96, 5 Pm 3.21-3.26
Pb1 0.0000 0.5000 0.7578  2 Pb 3.19, 5 Pm 3.21-3.23
Pb2 0.5000 0.0000 0.4363  2 Zn 2.96, 4 Pm 3.25
Pb3 0.5000 0.5000 0.9512  7 Pm 3.19-3.56, 2 Pb 3.19

2.
Here is ScNbB2 after structural relaxation from Alexandria via LeMat-Bulk. Energies are from PBE.

Results
The calculation puts the energy above the most stable polymorph in this dataset at 0.7866 eV/atom. The crystal system is tetragonal.

a b c (Å): 5.2517 5.2517 5.2517
angles (deg): 108.21 108.21 112.02
With the nearest neighbours (Å) after each atom.
Fractional coordinates of all 8 atoms:
Sc1 0.0000 0.0000 0.0000  4 B 2.37
Sc2 0.7500 0.2500 0.5000  4 B 2.37
Nb1 0.2500 0.7500 0.5000  4 B 2.23
Nb2 0.5000 0.5000 0.0000  4 B 2.23
B1 0.1415 0.6250 0.0165  2 Nb 2.23, 2 Sc 2.37
B2 0.3750 0.3915 0.5165  2 Nb 2.23, 2 Sc 2.37
B3 0.6085 0.1250 0.9835  2 Nb 2.23, 2 Sc 2.37
B4 0.8750 0.8585 0.4835  2 Nb 2.23, 2 Sc 2.37

3.
Here is PmGaBiPt after structural relaxation from Alexandria via LeMat-Bulk. Energies are from PBE.

Results
The crystal system is cubic.

a b c (Å): 5.0828 5.0828 5.0828
angles (deg): 60.00 60.00 60.00
With the nearest neighbours (Å) after each atom.
Fractional coordinates of all 4 atoms:
Pm1 0.0000 0.0000 0.0000  4 Pt 3.11, 4 Ga 3.11
Ga1 0.2500 0.2500 0.2500  4 Bi 3.11, 4 Pm 3.11
Bi1 0.5000 0.5000 0.5000  4 Pt 3.11, 4 Ga 3.11
Pt1 0.7500 0.7500 0.7500  4 Bi 3.11, 4 Pm 3.11

What are the formation enthalpy at 0 K values for these records? In order: -473.6; 176.7; -518.5 meV/atom.
What are the theoretical density values for these records? In order: 8.7; 4.8; 11.1 Mg/m³.